# 1
Compound: MnTePN2
Source: Alexandria via LeMat-Bulk
Functional: GGA-PBE
Structure: optimized geometry

Results
Its energy above the most stable polymorph in this dataset is 0.00 eV/f.u. As for the energy relative to the elements, uncorrected: 865 meV/atom. The crystal system is tetragonal. Its space group is P4/mmm (123).

Cell lengths 3.6521, 3.6521, 5.7364 Å; angles 90.00, 90.00, 90.00 degrees
Fractional coordinates of all 5 atoms:
Mn  0.0000  0.0000  0.0000
Te  0.0000  0.0000  0.5000
P  0.5000  0.5000  0.5000
N  0.0000  0.5000  0.0000
N  0.5000  0.0000  0.0000

***

# 2
Compound: MnTePN2
Source: Alexandria via LeMat-Bulk
Functional: GGA-PBE
Structure: optimized geometry

Results
Its energy above the most stable polymorph in this dataset is 0.65 eV/f.u. As for the energy relative to the elements, uncorrected: 995 meV/atom. The crystal system is tetragonal. Its space group is P4/mmm (123).

Cell lengths 3.5643, 3.5643, 6.7227 Å; angles 90.00, 90.00, 90.00 degrees
Fractional coordinates of all 5 atoms:
Mn  0.0000  0.0000  0.0000
Te  0.5000  0.5000  0.0000
P  0.5000  0.5000  0.5000
N  0.0000  0.5000  0.5000
N  0.5000  0.0000  0.5000

***

# 3
Compound: UMn2PN
Source: Alexandria via LeMat-Bulk
Functional: GGA-PBE
Structure: optimized geometry

Results
As for the energy relative to the elements, uncorrected: -544 meV/atom. The crystal system is tetragonal. Its space group is P4mm (99).

Cell lengths 3.7895, 3.7895, 4.8572 Å; angles 90.00, 90.00, 90.00 degrees
Fractional coordinates of all 5 atoms:
U  0.0000  0.0000  0.0000
Mn  0.0000  0.5000  0.4677
Mn  0.5000  0.0000  0.4677
P  0.5000  0.5000  0.1999
N  0.0000  0.0000  0.5474

***

Number 1: spin magnetization 0.4 μB/f.u.. Number 2: spin magnetization 5.1 μB/f.u.. Number 3: spin magnetization 0.0 μB/f.u..